1.
Computed, not measured: a relaxed Pm3Sm3In2Co crystal at the PBE-GGA level of DFT.

a = 8.880 Å, b = 8.880 Å, c = 3.785 Å
α = 90.00°, β = 90.00°, γ = 120.00°
Sites, in units of the cell vectors:
Pm1 0.000 0.766 0.000
Pm2 0.234 0.234 0.000
Pm3 0.766 0.000 0.000
Sm1 0.000 0.400 0.500
Sm2 0.400 0.000 0.500
Sm3 0.600 0.600 0.500
In1 0.333 0.667 0.000
In2 0.667 0.333 0.000
Co1 0.000 0.000 0.500

Values from the calculation:
* size of the total moment: 0.00 μB per cell
* D(E_F): 11.4 states/eV/f.u.
* ΔH_f (0 K): -0.254 eV/atom



2.
Computed, not measured: a relaxed TbPmInCo crystal at the PBE-GGA level of DFT.

a = 5.170 Å, b = 5.170 Å, c = 5.170 Å
α = 60.00°, β = 60.00°, γ = 60.00°
Sites, in units of the cell vectors:
Tb1 0.000 0.000 0.000
Pm1 0.500 0.500 0.500
In1 0.750 0.750 0.750
Co1 0.250 0.250 0.250

Values from the calculation:
* size of the total moment: 1.23 μB per cell
* D(E_F): 2.3 states/eV/f.u.
* ΔH_f (0 K): -0.154 eV/atom



Please write out number 1 again, unchanged.
Computed, not measured: a relaxed Pm3Sm3In2Co crystal at the PBE-GGA level of DFT.

a = 8.880 Å, b = 8.880 Å, c = 3.785 Å
α = 90.00°, β = 90.00°, γ = 120.00°
Sites, in units of the cell vectors:
Pm1 0.000 0.766 0.000
Pm2 0.234 0.234 0.000
Pm3 0.766 0.000 0.000
Sm1 0.000 0.400 0.500
Sm2 0.400 0.000 0.500
Sm3 0.600 0.600 0.500
In1 0.333 0.667 0.000
In2 0.667 0.333 0.000
Co1 0.000 0.000 0.500

Values from the calculation:
* size of the total moment: 0.00 μB per cell
* D(E_F): 11.4 states/eV/f.u.
* ΔH_f (0 K): -0.254 eV/atom



What did the first record say?
Computed, not measured: a relaxed Pm3Sm3In2Co crystal at the PBE-GGA level of DFT.

a = 8.880 Å, b = 8.880 Å, c = 3.785 Å
α = 90.00°, β = 90.00°, γ = 120.00°
Sites, in units of the cell vectors:
Pm1 0.000 0.766 0.000
Pm2 0.234 0.234 0.000
Pm3 0.766 0.000 0.000
Sm1 0.000 0.400 0.500
Sm2 0.400 0.000 0.500
Sm3 0.600 0.600 0.500
In1 0.333 0.667 0.000
In2 0.667 0.333 0.000
Co1 0.000 0.000 0.500

Values from the calculation:
* size of the total moment: 0.00 μB per cell
* D(E_F): 11.4 states/eV/f.u.
* ΔH_f (0 K): -0.254 eV/atom



> ΔH_f (0 K) of number 2 (TbPmInCo)?

-0.154 eV/atom



> Number 1 is which compound?

Pm3Sm3In2Co